[1]
# MgCl, optimized geometry, DFT PBE-GGA
# Formation energy without anion corrections = -0.6834 eV per atom
# Total moment = 0.00 μB/atom
# Density of states at the Fermi level = 0.7052 states/eV/atom
data_MgCl
_chemical_formula_sum 'Mg2 Cl2'
_space_group_name_H-M_alt 'P 1'
_space_group_IT_number 1
_cell_length_a 7.194
_cell_length_b 7.194
_cell_length_c 7.194
_cell_angle_alpha 148.51
_cell_angle_beta 148.51
_cell_angle_gamma 45.13
loop_
_space_group_symop_operation_xyz
'x,y,z'
loop_
_atom_site_label
_atom_site_fract_x
_atom_site_fract_y
_atom_site_fract_z
Cl1 0.000 0.000 0.000
Cl2 0.250 0.750 0.500
Mg1 0.750 0.250 0.500
Mg2 0.500 0.500 0.000



[2]
# Mg3Cl, optimized geometry, DFT PBE-GGA
# Formation energy without anion corrections = -0.2949 eV per atom
# Total moment = 0.00 μB/atom
# Excess energy over the best structure of this formula in the dataset = 60.4 kJ/mol of formula units
# Density of states at the Fermi level = 0.3915 states/eV/atom
data_Mg3Cl
_chemical_formula_sum 'Mg3 Cl1'
_space_group_name_H-M_alt 'P 1'
_space_group_IT_number 1
_cell_length_a 5.493
_cell_length_b 3.266
_cell_length_c 5.983
_cell_angle_alpha 62.25
_cell_angle_beta 90.00
_cell_angle_gamma 90.00
loop_
_space_group_symop_operation_xyz
'x,y,z'
loop_
_atom_site_label
_atom_site_fract_x
_atom_site_fract_y
_atom_site_fract_z
Mg1 0.500 0.028 0.246
Mg2 0.500 0.972 0.754
Mg3 0.000 0.500 0.500
Cl1 0.000 0.000 0.000



[3]
# Mg2Cl, optimized geometry, DFT PBE-GGA
# Formation energy without anion corrections = -0.5626 eV per atom
# Total moment = 0.00 μB/atom
# Excess energy over the best structure of this formula in the dataset = 29.0 kJ/mol of formula units
# Density of states at the Fermi level = 0.3091 states/eV/atom
data_Mg2Cl
_chemical_formula_sum 'Mg4 Cl2'
_space_group_name_H-M_alt 'P 1'
_space_group_IT_number 1
_cell_length_a 8.069
_cell_length_b 8.069
_cell_length_c 3.304
_cell_angle_alpha 90.00
_cell_angle_beta 90.00
_cell_angle_gamma 137.91
loop_
_space_group_symop_operation_xyz
'x,y,z'
loop_
_atom_site_label
_atom_site_fract_x
_atom_site_fract_y
_atom_site_fract_z
Cl1 0.900 0.100 0.250
Cl2 0.100 0.900 0.750
Mg1 0.411 0.589 0.750
Mg2 0.776 0.224 0.750
Mg3 0.224 0.776 0.250
Mg4 0.589 0.411 0.250



[4]
# MgCl3, optimized geometry, DFT PBE-GGA
# Formation energy without anion corrections = -0.4807 eV per atom
# Total moment = 0.24 μB/atom
# Density of states at the Fermi level = 0.8012 states/eV/atom
data_MgCl3
_chemical_formula_sum 'Mg1 Cl3'
_space_group_name_H-M_alt 'P 1'
_space_group_IT_number 1
_cell_length_a 4.636
_cell_length_b 4.636
_cell_length_c 3.921
_cell_angle_alpha 90.00
_cell_angle_beta 90.00
_cell_angle_gamma 90.00
loop_
_space_group_symop_operation_xyz
'x,y,z'
loop_
_atom_site_label
_atom_site_fract_x
_atom_site_fract_y
_atom_site_fract_z
Cl1 0.500 0.500 0.000
Cl2 0.000 0.000 0.000
Cl3 0.500 0.000 0.500
Mg1 0.000 0.500 0.500



[5]
# Mg2Cl, optimized geometry, DFT PBE-GGA
# Formation energy without anion corrections = -0.3817 eV per atom
# Total moment = 0.00 μB/atom
# Excess energy over the best structure of this formula in the dataset = 81.3 kJ/mol of formula units
# Density of states at the Fermi level = 0.3781 states/eV/atom
data_Mg2Cl
_chemical_formula_sum 'Mg4 Cl2'
_space_group_name_H-M_alt 'P 1'
_space_group_IT_number 1
_cell_length_a 13.066
_cell_length_b 13.066
_cell_length_c 13.066
_cell_angle_alpha 165.33
_cell_angle_beta 165.33
_cell_angle_gamma 20.81
loop_
_space_group_symop_operation_xyz
'x,y,z'
loop_
_atom_site_label
_atom_site_fract_x
_atom_site_fract_y
_atom_site_fract_z
Mg1 0.173 0.673 0.500
Mg2 0.327 0.827 0.500
Mg3 0.423 0.423 0.000
Mg4 0.577 0.577 0.000
Cl1 0.750 0.250 0.500
Cl2 0.000 0.000 0.000



[6]
# MgCl, optimized geometry, DFT PBE-GGA
# Formation energy without anion corrections = -1.1097 eV per atom
# Total moment = 0.00 μB/atom
# Density of states at the Fermi level = 0.2500 states/eV/atom
data_MgCl
_chemical_formula_sum 'Mg3 Cl3'
_space_group_name_H-M_alt 'P 1'
_space_group_IT_number 1
_cell_length_a 6.674
_cell_length_b 6.674
_cell_length_c 9.071
_cell_angle_alpha 47.46
_cell_angle_beta 47.46
_cell_angle_gamma 31.02
loop_
_space_group_symop_operation_xyz
'x,y,z'
loop_
_atom_site_label
_atom_site_fract_x
_atom_site_fract_y
_atom_site_fract_z
Mg1 0.879 0.879 0.530
Mg2 0.236 0.236 0.443
Mg3 0.033 0.033 0.065
Cl1 0.562 0.562 0.493
Cl2 0.403 0.403 0.050
Cl3 0.721 0.721 0.918



[7]
# MgCl, optimized geometry, DFT PBE-GGA
# Formation energy without anion corrections = -0.8144 eV per atom
# Total moment = 0.00 μB/atom
# Density of states at the Fermi level = 0.2616 states/eV/atom
data_MgCl
_chemical_formula_sum 'Mg8 Cl8'
_space_group_name_H-M_alt 'P 1'
_space_group_IT_number 1
_cell_length_a 8.501
_cell_length_b 8.501
_cell_length_c 8.501
_cell_angle_alpha 90.00
_cell_angle_beta 90.00
_cell_angle_gamma 90.00
loop_
_space_group_symop_operation_xyz
'x,y,z'
loop_
_atom_site_label
_atom_site_fract_x
_atom_site_fract_y
_atom_site_fract_z
Mg1 0.872 0.872 0.128
Mg2 0.628 0.628 0.628
Mg3 0.628 0.372 0.372
Mg4 0.128 0.872 0.872
Mg5 0.872 0.128 0.872
Mg6 0.372 0.628 0.372
Mg7 0.372 0.372 0.628
Mg8 0.128 0.128 0.128
Cl1 0.210 0.790 0.210
Cl2 0.290 0.710 0.710
Cl3 0.710 0.290 0.710
Cl4 0.790 0.210 0.210
Cl5 0.790 0.790 0.790
Cl6 0.710 0.710 0.290
Cl7 0.210 0.210 0.790
Cl8 0.290 0.290 0.290



[8]
# Mg5Cl4, optimized geometry, DFT PBE-GGA
# Formation energy without anion corrections = -0.8007 eV per atom
# Total moment = 0.00 μB/atom
data_Mg5Cl4
_chemical_formula_sum 'Mg5 Cl4'
_space_group_name_H-M_alt 'P 1'
_space_group_IT_number 1
_cell_length_a 8.619
_cell_length_b 8.619
_cell_length_c 8.619
_cell_angle_alpha 92.24
_cell_angle_beta 92.24
_cell_angle_gamma 157.18
loop_
_space_group_symop_operation_xyz
'x,y,z'
loop_
_atom_site_label
_atom_site_fract_x
_atom_site_fract_y
_atom_site_fract_z
Cl1 0.234 0.000 0.234
Cl2 0.766 0.000 0.766
Cl3 0.000 0.766 0.766
Cl4 0.000 0.234 0.234
Mg1 0.674 0.674 0.348
Mg2 0.674 0.326 0.000
Mg3 0.326 0.326 0.652
Mg4 0.000 0.000 0.000
Mg5 0.326 0.674 0.000